No. 1
A relaxed structure of BaUPaSe6, computed with GGA-PBE.

Results
total moment: 1.017 μB per formula unit
Fermi-level density of states: 0.07 states/eV/atom
ΔE_f (raw): -12.43 eV/f.u.
total DFT energy (no corrections): -6.227 eV/atom

Unit cell a=7.2918 b=7.2918 c=13.7584 alpha=90.00 beta=90.00 gamma=120.00
Space group P-31c (No. 163)
Unique sites:
Ba (0.0000, 0.0000, 0.0000) x2
U (0.3333, 0.6667, 0.2500) x2
Pa (0.3333, 0.6667, 0.7500) x2
Se (0.0024, 0.3793, 0.1362) x12

No. 2
A relaxed structure of Pm7Sm2Er4, computed with GGA-PBE.

Results
total moment: 0.000 μB per formula unit
Fermi-level density of states: 1.26 states/eV/atom
total DFT energy (no corrections): -4.512 eV/atom

Unit cell a=6.171 b=10.691 c=13.196 alpha=90.00 beta=90.01 gamma=90.00
Space group C2/m (No. 12)
Unique sites:
Pm (0.000, 0.000, 0.000) x2
Pm (0.131, 0.500, 0.776) x4
Pm (0.185, 0.185, 0.776) x8
Sm (0.000, 0.333, 0.000) x4
Er (0.000, 0.333, 0.500) x4
Er (0.001, 0.000, 0.607) x4

No. 3
A relaxed structure of Ac2Pr4Dy, computed with GGA-PBE.

Results
energy above the lowest structure with this stoichiometry: 524 meV per atom
total moment: 0.758 μB per formula unit
Fermi-level density of states: 1.62 states/eV/atom
total DFT energy (no corrections): -4.005 eV/atom

Unit cell a=5.768 b=5.768 c=18.448 alpha=90.00 beta=90.00 gamma=90.00
Space group I4/mmm (No. 139)
Unique sites:
Ac (0.000, 0.000, 0.127) x4
Pr (0.000, 0.000, 0.324) x4
Pr (0.000, 0.500, 0.000) x4
Dy (0.000, 0.000, 0.500) x2

No. 4
A relaxed structure of ScGa2Cu3, computed with GGA-PBE.

Results
energy above the lowest structure with this stoichiometry: 0 meV per atom
total moment: 0.000 μB per formula unit
Fermi-level density of states: 0.68 states/eV/atom
total DFT energy (no corrections): -4.412 eV/atom

Unit cell a=4.1913 b=4.1913 c=11.7574 alpha=90.00 beta=90.00 gamma=120.00
Space group P6_3/mmc (No. 194)
Unique sites:
Sc (0.0000, 0.0000, 0.2500) x2
Ga (0.3333, 0.6667, 0.0931) x4
Cu (0.0000, 0.0000, 0.0000) x2
Cu (0.3333, 0.6667, 0.6347) x4

> Which of these has the highest total moment?

BaUPaSe6

> Among the records above, which one has the highest Fermi-level density of states?

Ac2Pr4Dy